1.
This record from Alexandria describes a geometry-optimized Ba2LiAg structure. The functional is PBEsol.

Structure (POSCAR):
```
Ba2LiAg
1.0
0.000 4.121 4.121
4.121 0.000 4.121
4.121 4.121 0.000
Ba Li Ag
2 1 1
Cartesian
2.060 2.060 2.060
6.181 6.181 6.181
0.000 0.000 0.000
4.121 4.121 4.121
```

## Properties
energy relative to the lowest polymorph listed for this composition: 47 meV per atom
DFT formation energy: -0.047 eV/atom


2.
This record from Alexandria describes a geometry-optimized CdGeP2O structure. The functional is PBEsol.

Structure (POSCAR):
```
CdGeP2O
1.0
4.893 0.000 0.000
0.000 4.893 0.000
0.000 0.000 3.538
Cd Ge P O
1 1 2 1
Cartesian
0.000 0.000 0.000
2.446 2.446 1.769
0.000 2.446 1.769
2.446 0.000 1.769
2.446 2.446 0.000
```

## Properties
E_form (uncorrected): 183.2 meV per atom


3.
This record from Alexandria describes a geometry-optimized Ti3Cu2NiS8 structure. The functional is PBEsol.

Structure (POSCAR):
```
Ti3Cu2NiS8
1.0
3.425 1.978 5.763
-3.425 1.978 5.763
0.000 -3.955 5.763
Ti Cu Ni S
3 2 1 8
Cartesian
-1.713 -0.989 5.763
-1.713 0.989 11.526
0.000 1.978 5.763
0.000 0.000 2.162
0.000 0.000 15.127
0.000 0.000 8.645
0.000 0.000 4.380
0.000 -1.856 7.221
-1.607 0.928 7.221
-1.607 -0.928 10.069
1.607 0.928 7.221
1.607 -0.928 10.069
0.000 1.856 10.069
0.000 0.000 12.909
```

## Properties
E_form (uncorrected): -979.7 meV per atom


4.
This record from Alexandria describes a geometry-optimized Ba2NdCu3O6 structure. The functional is PBEsol.

Structure (POSCAR):
```
Ba2NdCu3O6
1.0
3.869 0.000 0.000
0.000 3.869 0.000
0.000 0.000 11.899
Ba Nd Cu O
2 1 3 6
Cartesian
0.000 0.000 2.307
0.000 0.000 9.592
0.000 0.000 5.950
1.935 1.935 0.000
1.935 1.935 4.290
1.935 1.935 7.610
0.000 1.935 4.425
0.000 1.935 7.474
1.935 0.000 4.425
1.935 0.000 7.474
1.935 1.935 1.783
1.935 1.935 10.116
```

## Properties
E_form (uncorrected): -1885.6 meV per atom


5.
This record from Alexandria describes a geometry-optimized RuPt2Se structure. The functional is PBEsol.

Structure (POSCAR):
```
RuPt2Se
1.0
-1.408 2.299 4.695
1.408 -2.299 4.695
1.408 2.299 -4.695
Ru Pt Se
1 2 1
Cartesian
0.000 0.000 0.000
1.408 0.000 2.457
0.000 0.000 5.016
0.000 2.299 2.720
```

## Properties
E_form (uncorrected): 245.3 meV per atom


6.
This record from Alexandria describes a geometry-optimized NaTe2RuN structure. The functional is PBEsol.

Structure (POSCAR):
```
NaTe2RuN
1.0
5.272 0.000 0.000
0.000 5.272 0.000
0.000 0.000 3.891
Na Te Ru N
1 2 1 1
Cartesian
0.000 0.000 0.000
0.000 2.636 0.000
2.636 0.000 0.000
2.636 2.636 1.946
0.000 0.000 1.946
```

## Properties
energy relative to the lowest polymorph listed for this composition: 1854 meV per atom
E_form (uncorrected): 1838.8 meV per atom


7.
This record from Alexandria describes a geometry-optimized Ta3MoSe structure. The functional is PBEsol.

Structure (POSCAR):
```
Ta3MoSe
1.0
4.791 0.000 0.000
0.000 4.791 0.000
0.000 0.000 4.791
Ta Mo Se
3 1 1
Cartesian
0.000 0.000 2.395
0.000 2.395 0.000
2.395 0.000 0.000
0.000 0.000 0.000
2.395 2.395 2.395
```

## Properties
E_form (uncorrected): 1436.5 meV per atom


8.
This record from Alexandria describes a geometry-optimized TlP2H structure. The functional is PBEsol.

Structure (POSCAR):
```
TlP2H
1.0
-2.618 2.618 4.886
2.618 -2.618 4.886
2.618 2.618 -4.886
Tl P H
2 4 2
Cartesian
2.618 1.309 1.222
0.000 1.309 3.665
0.000 0.000 0.000
1.309 1.309 -2.443
1.309 -1.309 2.443
0.000 2.618 0.000
2.618 -1.309 3.665
0.000 3.927 1.222
```


9.
This record from Alexandria describes a geometry-optimized SrPAu3 structure. The functional is PBEsol.

Structure (POSCAR):
```
SrPAu3
1.0
4.793 0.000 0.000
0.000 4.793 0.000
0.000 0.000 4.793
Sr P Au
1 1 3
Cartesian
0.000 0.000 0.000
2.396 2.396 2.396
0.000 2.396 2.396
2.396 0.000 2.396
2.396 2.396 0.000
```

## Properties
DFT formation energy: -0.331 eV/atom


10.
This record from Alexandria describes a geometry-optimized NbCr2IrPd structure. The functional is PBEsol.

Structure (POSCAR):
```
NbCr2IrPd
1.0
4.401 0.000 0.000
0.000 4.401 0.000
0.000 0.000 4.652
Nb Cr Ir Pd
1 2 1 1
Cartesian
0.000 0.000 0.000
0.000 2.200 0.000
2.200 0.000 0.000
2.200 2.200 2.326
0.000 0.000 2.326
```

## Properties
DFT formation energy: 1.892 eV/atom


11.
This record from Alexandria describes a geometry-optimized ZnCrO4 structure. The functional is PBEsol.

Structure (POSCAR):
```
ZnCrO4
1.0
2.748 -4.144 0.000
2.748 4.144 0.000
0.000 0.000 6.279
Zn Cr O
2 2 8
Cartesian
0.000 0.000 0.000
0.000 0.000 3.139
2.748 1.169 4.709
2.748 -1.169 1.570
1.356 0.213 4.709
2.748 2.108 3.392
2.748 2.108 6.026
1.356 -0.213 1.570
4.140 0.213 4.709
2.748 -2.108 0.253
2.748 -2.108 2.887
4.140 -0.213 1.570
```

## Properties
energy relative to the lowest polymorph listed for this composition: 0 meV per atom
E_form (uncorrected): -1633.2 meV per atom


12.
This record from Alexandria describes a geometry-optimized Cr2SbRh structure. The functional is PBEsol.

Structure (POSCAR):
```
Cr2SbRh
1.0
2.704 -3.683 0.000
2.704 3.683 0.000
0.000 0.000 2.949
Cr Sb Rh
2 1 1
Cartesian
1.352 1.842 0.000
1.352 -1.842 0.000
0.000 0.000 1.475
2.704 0.000 1.475
```

## Properties
E_form (uncorrected): 253.4 meV per atom


13.
This record from Alexandria describes a geometry-optimized LaSb2 structure. The functional is PBEsol.

Structure (POSCAR):
```
LaSb2
1.0
3.150 -3.095 0.000
3.150 3.095 0.000
0.000 0.000 18.135
La Sb
4 8
Cartesian
3.150 2.264 16.153
3.150 0.831 7.085
3.150 -0.831 11.050
3.150 -2.264 1.982
1.575 0.805 13.602
3.150 2.283 10.234
3.150 0.812 1.166
1.575 -0.805 4.534
4.725 0.805 13.602
3.150 -0.812 16.969
3.150 -2.283 7.901
4.725 -0.805 4.534
```

## Properties
E_form (uncorrected): -902.1 meV per atom


14.
This record from Alexandria describes a geometry-optimized CsScCl3 structure. The functional is PBEsol.

Structure (POSCAR):
```
CsScCl3
1.0
5.066 0.000 0.000
0.000 5.066 0.000
0.000 0.000 5.066
Cs Sc Cl
1 1 3
Cartesian
0.000 0.000 0.000
2.533 2.533 2.533
0.000 2.533 2.533
2.533 0.000 2.533
2.533 2.533 0.000
```

## Properties
E_form (uncorrected): -1948.2 meV per atom


15.
This record from Alexandria describes a geometry-optimized ReW2Cl structure. The functional is PBEsol.

Structure (POSCAR):
```
ReW2Cl
1.0
2.821 0.000 0.000
0.000 4.112 0.000
-1.371 0.000 5.254
Re W Cl
1 2 1
Cartesian
0.000 0.000 0.000
0.190 2.056 3.968
1.261 2.056 1.286
0.725 0.000 2.627
```

## Properties
energy relative to the lowest polymorph listed for this composition: 263 meV per atom
E_form (uncorrected): 682.6 meV per atom


16.
This record from Alexandria describes a geometry-optimized NiIrPt2 structure. The functional is PBEsol.

Structure (POSCAR):
```
NiIrPt2
1.0
2.718 0.000 0.000
0.000 3.729 0.000
0.000 0.000 5.414
Ni Ir Pt
1 1 2
Cartesian
0.000 0.000 0.000
1.359 1.864 4.147
0.000 0.000 2.788
1.359 1.864 1.330
```

## Properties
energy relative to the lowest polymorph listed for this composition: 29 meV per atom
DFT formation energy: 0.028 eV/atom


17.
This record from Alexandria describes a geometry-optimized BaAl2Rh structure. The functional is PBEsol.

Structure (POSCAR):
```
BaAl2Rh
1.0
2.147 1.239 5.987
-2.147 1.239 5.987
0.000 -2.479 5.987
Ba Al Rh
1 2 1
Cartesian
0.000 0.000 0.000
0.000 0.000 3.484
0.000 0.000 14.477
0.000 0.000 8.981
```

## Properties
DFT formation energy: -0.512 eV/atom


18.
This record from Alexandria describes a geometry-optimized YPt2Au structure. The functional is PBEsol.

Structure (POSCAR):
```
YPt2Au
1.0
-2.021 2.021 4.284
2.021 -2.021 4.284
2.021 2.021 -4.284
Y Pt Au
1 2 1
Cartesian
0.000 0.000 0.000
0.000 0.000 4.284
0.000 2.021 2.142
2.021 0.000 2.142
```

## Properties
DFT formation energy: -0.847 eV/atom


19.
This record from Alexandria describes a geometry-optimized Li3CaSc structure. The functional is PBEsol.

Structure (POSCAR):
```
Li3CaSc
1.0
5.262 0.000 0.000
0.000 5.262 0.000
0.000 0.000 5.262
Li Ca Sc
3 1 1
Cartesian
0.000 0.000 2.631
0.000 2.631 0.000
2.631 0.000 0.000
2.631 2.631 2.631
0.000 0.000 0.000
```

## Properties
DFT formation energy: 0.679 eV/atom


20.
This record from Alexandria describes a geometry-optimized TlRe2W structure. The functional is PBEsol.

Structure (POSCAR):
```
TlRe2W
1.0
2.814 -3.815 0.000
2.814 3.815 0.000
0.000 0.000 3.027
Tl Re W
1 2 1
Cartesian
0.000 0.000 0.000
1.407 1.907 1.513
1.407 -1.907 1.513
2.814 0.000 0.000
```

## Properties
energy relative to the lowest polymorph listed for this composition: 225 meV per atom
DFT formation energy: 0.868 eV/atom


Number 1: total DFT energy (no corrections) -2.44 eV per atom. Number 2: total DFT energy (no corrections) -4.41 eV per atom. Number 3: total DFT energy (no corrections) -6.33 eV per atom. Number 4: total DFT energy (no corrections) -6.38 eV per atom. Number 5: total DFT energy (no corrections) -6.74 eV per atom. Number 6: total DFT energy (no corrections) -3.59 eV per atom. Number 7: total DFT energy (no corrections) -9.22 eV per atom. Number 8: total DFT energy (no corrections) -3.76 eV per atom. Number 9: total DFT energy (no corrections) -4.21 eV per atom. Number 10: total DFT energy (no corrections) -7.53 eV per atom. Number 11: total DFT energy (no corrections) -7.10 eV per atom. Number 12: total DFT energy (no corrections) -8.04 eV per atom. Number 13: total DFT energy (no corrections) -5.72 eV per atom. Number 14: total DFT energy (no corrections) -4.66 eV per atom. Number 15: total DFT energy (no corrections) -10.06 eV per atom. Number 16: total DFT energy (no corrections) -7.45 eV per atom. Number 17: total DFT energy (no corrections) -5.13 eV per atom. Number 18: total DFT energy (no corrections) -7.02 eV per atom. Number 19: total DFT energy (no corrections) -2.25 eV per atom. Number 20: total DFT energy (no corrections) -9.91 eV per atom.